Tl2ZnFe2: optimized geometry, GGA-PBEsol.

Geometry as extended XYZ:
```
5
Lattice="-0.490 -2.614 1.905 2.838 0.578 1.522 -5.263 5.971 4.031" Properties=species:S:1:pos:R:3 pbc="T T T"
Tl -3.149 3.815 4.424
Tl 0.234 0.121 3.034
Zn 0.000 0.000 0.000
Fe -2.289 1.170 3.825
Fe -0.626 2.765 3.633
```

Space-group type: I4/mmm (139)
Uncorrected energy, eV/cell: -22.16